A plane-wave DFT calculation with GGA-PBE was carried out for a relaxed CdIn2CuSn crystal.

Results
Energy: -13.578 eV per cell
Theoretical density: 6.43 g/cm3

CIF file:
```
data_CdIn2CuSn
_space_group_name_H-M_alt 'P 4/m m m'
_space_group_IT_number 123
_space_group_name_Hall '-P 4 2'
_cell_length_a 5.146
_cell_length_b 5.146
_cell_length_c 5.112
_cell_angle_alpha 90.00
_cell_angle_beta 90.00
_cell_angle_gamma 90.00
loop_
_atom_site_label
_atom_site_type_symbol
_atom_site_fract_x
_atom_site_fract_y
_atom_site_fract_z
_atom_site_occupancy
Cd1 Cd 0.000 0.000 0.000 1
In1 In 0.000 0.500 0.500 1
Cu1 Cu 0.500 0.500 0.500 1
Sn1 Sn 0.500 0.500 0.000 1
```


A plane-wave DFT calculation with GGA-PBE was carried out for a relaxed CdInCuSn2 crystal.

Results
Energy: -14.664 eV per cell
Theoretical density: 6.48 g/cm3

CIF file:
```
data_CdInCuSn2
_space_group_name_H-M_alt 'P 4/m m m'
_space_group_IT_number 123
_space_group_name_Hall '-P 4 2'
_cell_length_a 5.149
_cell_length_b 5.149
_cell_length_c 5.106
_cell_angle_alpha 90.00
_cell_angle_beta 90.00
_cell_angle_gamma 90.00
loop_
_atom_site_label
_atom_site_type_symbol
_atom_site_fract_x
_atom_site_fract_y
_atom_site_fract_z
_atom_site_occupancy
Cd1 Cd 0.000 0.000 0.000 1
In1 In 0.500 0.500 0.000 1
Cu1 Cu 0.500 0.500 0.500 1
Sn1 Sn 0.000 0.500 0.500 1
```